1.
Material: SrLi2PaBr8
Method: DFT, PBE
State: optimized geometry

- Final energy: -4.00 eV per atom
- Space-group type: P-1 (2)
- Raw formation energy: -1.633 eV per atom

Unit cell a=7.0477 b=7.4080 c=9.0458 alpha=71.71 beta=89.34 gamma=78.54
With the nearest neighbours (Å) after each atom.
Positions (direct):
1 Sr 0.0000 0.0000 0.0000  6 Br 3.02-3.17
2 Li 0.4625 0.3586 0.1725  4 Br 2.51-2.70
3 Li 0.5375 0.6414 0.8275  4 Br 2.51-2.70
4 Pa 0.0000 0.0000 0.5000  6 Br 2.78-2.88
5 Br 0.1211 0.2175 0.6719  1 Pa 2.81, 1 Sr 3.10
6 Br 0.1261 0.2313 0.2108  1 Li 2.70, 1 Pa 2.88
7 Br 0.3608 0.7489 0.5585  1 Li 2.56, 1 Pa 2.78
8 Br 0.3901 0.7255 0.0576  2 Li 2.51-2.53
9 Br 0.6099 0.2745 0.9424  2 Li 2.51-2.53
10 Br 0.6392 0.2511 0.4415  1 Li 2.56, 1 Pa 2.78
11 Br 0.8739 0.7687 0.7892  1 Li 2.70, 1 Pa 2.88
12 Br 0.8789 0.7825 0.3281  1 Pa 2.81, 1 Sr 3.10

***

2.
Material: Li2PaTlBr8
Method: DFT, PBE
State: optimized geometry

- Final energy: -3.75 eV per atom
- Space-group type: P2/m (10)
- Raw formation energy: -1.323 eV per atom

Unit cell a=6.7727 b=9.6896 c=6.8089 alpha=90.00 beta=100.07 gamma=90.00
With the nearest neighbours (Å) after each atom.
Positions (direct):
1 Li 0.0000 0.1589 0.0000  2 Br 2.46
2 Li 0.0000 0.8411 0.0000  2 Br 2.46
3 Pa 0.5000 0.5000 0.5000  6 Br 2.67-2.75
4 Tl 0.5000 0.0000 0.5000  6 Br 3.29-3.46
5 Br 0.1879 0.0000 0.8194  2 Li 2.46
6 Br 0.2527 0.5000 0.7651  1 Pa 2.67
7 Br 0.2729 0.2968 0.2872  1 Pa 2.75, 1 Li 2.79
8 Br 0.2729 0.7032 0.2872  1 Pa 2.75, 1 Li 2.79
9 Br 0.7271 0.2968 0.7128  1 Pa 2.75, 1 Li 2.79
10 Br 0.7271 0.7032 0.7128  1 Pa 2.75, 1 Li 2.79
11 Br 0.7473 0.5000 0.2349  1 Pa 2.67
12 Br 0.8121 0.0000 0.1806  2 Li 2.46

***

> What is the raw formation energy in the second record?

-1.323 eV per atom

***

> raw formation energy of number 2 (Li2PaTlBr8)?

-1.323 eV per atom

***

> Which value of raw formation energy does entry 1 give?

-1.633 eV per atom